NaMgTlGa: optimized geometry, PBE.

Output
- final energy (eV per atom) = -2.158
- calculated formation energy (eV/atom) = -0.0812
- SG = P4mm (99)

a = 3.323 Å, b = 3.323 Å, c = 8.641 Å
α = 90.00°, β = 90.00°, γ = 90.00°
Sites, in units of the cell vectors:
Na 0.500 0.500 0.841
Ga 0.000 0.000 0.090
Mg 0.500 0.500 0.298
Tl 0.000 0.000 0.556

***

K2Ba2RuO6: optimized geometry, PBE.

Output
- final energy (eV per atom) = -5.758
- SG = C2/m (12)
- formation energy from raw total energies (eV/atom) = -1.661

a = 6.339 Å, b = 6.339 Å, c = 6.555 Å
α = 96.85°, β = 96.85°, γ = 118.38°
Site moments in Bohr magnetons follow the coordinates.
Sites, in units of the cell vectors:
O 0.700 0.961 0.328  0.08
O 0.300 0.039 0.672  0.08
O 0.202 0.202 0.314  0.08
O 0.961 0.700 0.328  0.08
O 0.798 0.798 0.686  0.08
O 0.039 0.300 0.672  0.08
K 0.855 0.145 0.000  0.00
K 0.145 0.855 0.000  0.00
Ru 0.000 0.000 0.500  1.29
Ba 0.662 0.338 0.500  0.01
Ba 0.338 0.662 0.500  0.01

***

NbPd: optimized geometry, PBE.

Output
- final energy (eV per atom) = -6.416
- calculated formation energy (eV/atom) = 1.2149
- SG = Pm-3n (223)

a = 7.136 Å, b = 7.136 Å, c = 7.136 Å
α = 90.00°, β = 90.00°, γ = 90.00°
Sites, in units of the cell vectors:
Nb 0.250 0.000 0.500
Nb 0.500 0.750 0.000
Nb 0.750 0.000 0.500
Nb 0.000 0.500 0.250
Nb 0.000 0.500 0.750
Nb 0.500 0.250 0.000
Pd 0.750 0.500 0.000
Pd 0.000 0.250 0.500
Pd 0.500 0.000 0.250
Pd 0.250 0.500 0.000
Pd 0.000 0.750 0.500
Pd 0.500 0.000 0.750